# SrYZr3, relaxed, DFT PBE
data_SrYZr3
_cell_length_a 5.4292
_cell_length_b 5.4292
_cell_length_c 5.4292
_cell_angle_alpha 90.00
_cell_angle_beta 90.00
_cell_angle_gamma 90.00
_symmetry_space_group_name_H-M 'P 1'
_symmetry_Int_Tables_number 1
_symmetry_space_group_name_Hall 'P 1'
loop_
_atom_site_label
_atom_site_type_symbol
_atom_site_fract_x
_atom_site_fract_y
_atom_site_fract_z
Sr1 Sr 0.0000 0.0000 0.0000
Y1 Y 0.5000 0.5000 0.5000
Zr1 Zr 0.0000 0.5000 0.5000
Zr2 Zr 0.5000 0.0000 0.5000
Zr3 Zr 0.5000 0.5000 0.0000
# electronic total energy: -5.652 eV per atom
# energy of formation: 1.1058 eV/atom
# total moment: 0.62 μB/f.u.
# offset from the most stable computed form: 0.0 meV/atom
# SG: Pm-3m

---

# SrY2Zr, relaxed, DFT PBE
data_SrY2Zr
_cell_length_a 6.1871
_cell_length_b 6.1871
_cell_length_c 3.5103
_cell_angle_alpha 90.00
_cell_angle_beta 90.00
_cell_angle_gamma 108.74
_symmetry_space_group_name_H-M 'P 1'
_symmetry_Int_Tables_number 1
_symmetry_space_group_name_Hall 'P 1'
loop_
_atom_site_label
_atom_site_type_symbol
_atom_site_fract_x
_atom_site_fract_y
_atom_site_fract_z
Sr1 Sr 0.0000 0.0000 0.0000
Y1 Y 0.0000 0.5000 0.5000
Y2 Y 0.5000 0.0000 0.5000
Zr1 Zr 0.5000 0.5000 0.0000
# electronic total energy: -5.444 eV per atom
# energy of formation: 0.3453 eV/atom
# total moment: 0.00 μB/f.u.
# offset from the most stable computed form: 180.0 meV/atom
# SG: Cmmm

---

Look up the offset from the most stable computed form of the first one.
0.0 meV/atom